No. 1
Compound: SrIn5Hg8
Source: Alexandria via LeMat-Bulk
Functional: PBE
Structure: relaxed

- E_form (eV per atom) = -0.101
- ρ (g cm⁻³) = 9.7
- density of states at the Fermi level (states/eV/atom) = 0.42

abc: 12.868 9.377 9.100
angles: 90.00 134.91 90.00
Space group C2 (No. 5)
One atom of each set of equivalent atoms:
Sr  0.000  0.000  0.000 (multiplicity 2)
In  0.000  0.249  0.500 (multiplicity 2)
In  0.159  0.634  0.417 (multiplicity 4)
In  0.242  0.865  0.900 (multiplicity 4)
Hg  0.073  0.323  0.238 (multiplicity 4)
Hg  0.085  0.942  0.437 (multiplicity 4)
Hg  0.148  0.556  0.734 (multiplicity 4)
Hg  0.165  0.677  0.092 (multiplicity 4)

***

No. 2
Compound: Ti2BiO5
Source: Alexandria via LeMat-Bulk
Functional: PBE
Structure: relaxed

- ρ (g cm⁻³) = 5.9
- density of states at the Fermi level (states/eV/atom) = 0.23
- raw formation energy (meV per atom) = -2395

abc: 3.689 11.746 4.998
angles: 90.00 90.00 90.00
Space group Pmmn (No. 59, origin choice 2)
One atom of each set of equivalent atoms:
Ti  0.250  0.091  0.104 (multiplicity 4)
Bi  0.250  0.750  0.357 (multiplicity 2)
O  0.250  0.124  0.448 (multiplicity 4)
O  0.250  0.250  0.947 (multiplicity 2)
O  0.250  0.582  0.050 (multiplicity 4)

***

No. 3
Compound: AgMo2Au
Source: Alexandria via LeMat-Bulk
Functional: PBE
Structure: relaxed

- E_form (eV per atom) = 0.408
- ρ (g cm⁻³) = 11.9
- density of states at the Fermi level (states/eV/atom) = 0.73
- offset from the most stable computed form (eV per atom) = 0.203

abc: 3.234 4.757 9.030
angles: 90.00 90.00 90.00
Space group Imm2 (No. 44)
One atom of each set of equivalent atoms:
Ag  0.000  0.000  0.000 (multiplicity 2)
Mo  0.000  0.000  0.470 (multiplicity 2)
Mo  0.000  0.500  0.770 (multiplicity 2)
Au  0.000  0.500  0.233 (multiplicity 2)

***

No. 4
Compound: BaNiTe
Source: Alexandria via LeMat-Bulk
Functional: PBE
Structure: relaxed

- ρ (g cm⁻³) = 6.0
- density of states at the Fermi level (states/eV/atom) = 0.63
- raw formation energy (meV per atom) = -799

abc: 9.830 4.344 8.418
angles: 90.00 90.00 90.00
Space group Pnma (No. 62)
One atom of each set of equivalent atoms:
Ba  0.221  0.250  0.069 (multiplicity 4)
Ni  0.027  0.250  0.425 (multiplicity 4)
Te  0.003  0.250  0.732 (multiplicity 4)

***

No. 5
Compound: Ac5La2
Source: Alexandria via LeMat-Bulk
Functional: PBE
Structure: relaxed

- E_form (eV per atom) = 0.101
- ρ (g cm⁻³) = 7.8
- density of states at the Fermi level (states/eV/atom) = 1.85
- offset from the most stable computed form (eV per atom) = 0.000

abc: 10.618 6.258 9.829
angles: 90.00 112.40 90.00
Space group C2/m (No. 12)
One atom of each set of equivalent atoms:
Ac  0.000  0.000  0.000 (multiplicity 2)
Ac  0.086  0.500  0.762 (multiplicity 4)
Ac  0.136  0.000  0.411 (multiplicity 4)
La  0.236  0.500  0.191 (multiplicity 4)

***

No. 6
Compound: NdGa2PdPt4
Source: Alexandria via LeMat-Bulk
Functional: PBE
Structure: relaxed

- E_form (eV per atom) = -0.657
- ρ (g cm⁻³) = 13.4
- density of states at the Fermi level (states/eV/atom) = 0.62

abc: 4.3424 4.3424 26.5768
angles: 90.00 90.00 120.00
Space group R-3m (No. 166, hexagonal axes)
One atom of each set of equivalent atoms:
Nd  0.0000  0.0000  0.0000 (multiplicity 3)
Ga  0.0000  0.0000  0.2359 (multiplicity 6)
Pd  0.0000  0.0000  0.5000 (multiplicity 3)
Pt  0.0000  0.0000  0.1209 (multiplicity 6)
Pt  0.0000  0.0000  0.3988 (multiplicity 6)

***

No. 7
Compound: CaY3Ir
Source: Alexandria via LeMat-Bulk
Functional: PBE
Structure: relaxed

- E_form (eV per atom) = -0.245
- ρ (g cm⁻³) = 5.6
- density of states at the Fermi level (states/eV/atom) = 0.85
- offset from the most stable computed form (eV per atom) = 0.159

abc: 14.676 11.682 7.158
angles: 90.00 104.50 90.00
Space group C2/c (No. 15)
One atom of each set of equivalent atoms:
Ca  0.000  0.130  0.250 (multiplicity 4)
Ca  0.000  0.229  0.750 (multiplicity 4)
Y  0.088  0.426  0.463 (multiplicity 8)
Y  0.209  0.152  0.611 (multiplicity 8)
Y  0.229  0.125  0.102 (multiplicity 8)
Ir  0.122  0.337  0.107 (multiplicity 8)

***

No. 8
Compound: K2Hg4Pb
Source: Alexandria via LeMat-Bulk
Functional: PBE
Structure: relaxed

- E_form (eV per atom) = -0.062
- ρ (g cm⁻³) = 5.7
- density of states at the Fermi level (states/eV/atom) = 0.66

abc: 5.991 5.991 17.680
angles: 90.00 90.00 90.00
Space group I4/mmm (No. 139)
One atom of each set of equivalent atoms:
K  0.000  0.000  0.120 (multiplicity 4)
Hg  0.000  0.000  0.314 (multiplicity 4)
Hg  0.000  0.500  0.000 (multiplicity 4)
Pb  0.000  0.000  0.500 (multiplicity 2)